*1*
Crystalline La3InCo at its relaxed geometry, computed with PBE.

Calculated values
Its magnetic moment is 0.000 μB per atom.

abc: 7.9084 10.8587 6.8832
angles: 90.00 101.35 90.00
Closest atoms and distances in Å follow each position.
Space group Cm (No. 8)
Unique sites:
La: 0.0000 0.0000 0.0000 (multiplicity 2)  3 In 3.37-3.64, 2 La 3.38, 4 Co 3.46-3.69
La: 0.0248 0.5000 0.1791 (multiplicity 2)  2 Co 2.59
La: 0.1221 0.2884 0.7465 (multiplicity 4)  2 Co 2.62-2.80
La: 0.2229 0.2193 0.2922 (multiplicity 4)  1 Co 2.62
In: 0.2957 0.0000 0.7039 (multiplicity 2)  2 Co 2.89, 1 In 3.05
In: 0.4164 0.5000 0.5008 (multiplicity 2)  1 In 3.05, 1 La 3.37
Co: 0.3829 0.1932 0.9954 (multiplicity 4)  4 La 2.59-2.80, 1 In 2.89

=====

*2*
Crystalline La3InCo at its relaxed geometry, computed with PBE.

Calculated values
Its magnetic moment is 0.000 μB per atom.

abc: 5.3280 5.3280 5.3280
angles: 90.00 90.00 90.00
Closest atoms and distances in Å follow each position.
Space group Pm-3m (No. 221)
Unique sites:
La: 0.0000 0.0000 0.5000 (multiplicity 3)  2 Co 2.66
In: 0.5000 0.5000 0.5000 (multiplicity 1)  12 La 3.77
Co: 0.0000 0.0000 0.0000 (multiplicity 1)  6 La 2.66

=====

Energy above the most stable structure, in meV per atom: *1* 43; *2* 0